[1]
Density functional theory data (PBEsol) for an optimized crystal structure of RbNaTc2Os.

CIF file:
```
data_RbNaTc2Os
_chemical_formula_sum 'Rb1 Na1 Tc2 Os1'
_cell_length_a 4.697
_cell_length_b 4.697
_cell_length_c 5.703
_cell_angle_alpha 90.00
_cell_angle_beta 90.00
_cell_angle_gamma 90.00
_symmetry_space_group_name_H-M 'P 4/m m m'
_symmetry_Int_Tables_number 123
_symmetry_space_group_name_Hall '-P 4 2'
loop_
_atom_site_label
_atom_site_type_symbol
_atom_site_fract_x
_atom_site_fract_y
_atom_site_fract_z
Rb1 Rb 0.000 0.000 0.000
Na1 Na 0.500 0.500 0.000
Tc1 Tc 0.000 0.500 0.500
Os1 Os 0.500 0.500 0.500
```

ΔE_f in eV per atom: 1.44


[2]
Density functional theory data (PBEsol) for an optimized crystal structure of NaTlReOs2.

CIF file:
```
data_NaTlReOs2
_chemical_formula_sum 'Na1 Tl1 Re1 Os2'
_cell_length_a 4.877
_cell_length_b 4.877
_cell_length_c 4.542
_cell_angle_alpha 90.00
_cell_angle_beta 90.00
_cell_angle_gamma 90.00
_symmetry_space_group_name_H-M 'P 4/m m m'
_symmetry_Int_Tables_number 123
_symmetry_space_group_name_Hall '-P 4 2'
loop_
_atom_site_label
_atom_site_type_symbol
_atom_site_fract_x
_atom_site_fract_y
_atom_site_fract_z
Na1 Na 0.000 0.000 0.000
Tl1 Tl 0.000 0.000 0.500
Re1 Re 0.500 0.500 0.000
Os1 Os 0.000 0.500 0.500
```

ΔE_f in eV per atom: 3.04